No. 1
VASP calculation (PBE-GGA) on crystalline Ba3NiW at its relaxed geometry.

Computed properties:
Energy above the lowest structure with this stoichiometry (meV per atom): 0

Cell lengths 5.892, 5.892, 5.892 Å; angles 90.00, 90.00, 90.00 degrees
Space group Pm-3m (No. 221)
One atom of each set of equivalent atoms:
Ba1 0.000 0.000 0.500
Ni1 0.000 0.000 0.000
W1 0.500 0.500 0.500

---

No. 2
VASP calculation (PBE-GGA) on crystalline BaNiW3 at its relaxed geometry.

Computed properties:
Energy above the lowest structure with this stoichiometry (meV per atom): 0

Cell lengths 4.744, 4.744, 4.744 Å; angles 90.00, 90.00, 90.00 degrees
Space group Pm-3m (No. 221)
One atom of each set of equivalent atoms:
Ba1 0.000 0.000 0.000
Ni1 0.500 0.500 0.500
W1 0.000 0.500 0.500

---

No. 3
VASP calculation (PBE-GGA) on crystalline Ba2NiW at its relaxed geometry.

Computed properties:
Energy above the lowest structure with this stoichiometry (meV per atom): 648

Cell lengths 3.4481, 3.4481, 30.3772 Å; angles 90.00, 90.00, 120.00 degrees
Space group R-3m (No. 166, hexagonal axes)
One atom of each set of equivalent atoms:
Ba1 0.0000 0.0000 0.2430
Ni1 0.0000 0.0000 0.5000
W1 0.0000 0.0000 0.0000

---

No. 4
VASP calculation (PBE-GGA) on crystalline BaNi4W at its relaxed geometry.

Cell lengths 7.159, 7.159, 7.159 Å; angles 90.00, 90.00, 90.00 degrees
Space group F-43m (No. 216)
One atom of each set of equivalent atoms:
Ba1 0.000 0.000 0.000
Ni1 0.123 0.123 0.623
W1 0.250 0.250 0.250

---

No. 5
VASP calculation (PBE-GGA) on crystalline Ba2NiW at its relaxed geometry.

Computed properties:
Energy above the lowest structure with this stoichiometry (meV per atom): 721

Cell lengths 3.784, 4.863, 5.572 Å; angles 90.00, 90.00, 90.00 degrees
Space group Pmmm (No. 47)
One atom of each set of equivalent atoms:
Ba1 0.000 0.000 0.000
Ba2 0.500 0.000 0.500
Ni1 0.000 0.500 0.500
W1 0.500 0.500 0.000

---

No. 6
VASP calculation (PBE-GGA) on crystalline BaNiW2 at its relaxed geometry.

Computed properties:
Energy above the lowest structure with this stoichiometry (meV per atom): 153

Cell lengths 3.684, 4.695, 9.096 Å; angles 90.00, 90.00, 90.00 degrees
Space group Cmm2 (No. 35)
One atom of each set of equivalent atoms:
Ba1 0.000 0.000 0.000
Ni1 0.000 0.500 0.285
W1 0.000 0.000 0.463
W2 0.000 0.500 0.674

---

No. 7
VASP calculation (PBE-GGA) on crystalline BaNi3W at its relaxed geometry.

Computed properties:
Energy above the lowest structure with this stoichiometry (meV per atom): 0

Cell lengths 4.739, 4.739, 4.739 Å; angles 90.00, 90.00, 90.00 degrees
Space group Pm-3m (No. 221)
One atom of each set of equivalent atoms:
Ba1 0.000 0.000 0.000
Ni1 0.000 0.500 0.500
W1 0.500 0.500 0.500

---

No. 8
VASP calculation (PBE-GGA) on crystalline BaNiW2 at its relaxed geometry.

Computed properties:
Energy above the lowest structure with this stoichiometry (meV per atom): 624

Cell lengths 6.731, 6.731, 6.731 Å; angles 90.00, 90.00, 90.00 degrees
Space group F-43m (No. 216)
One atom of each set of equivalent atoms:
Ba1 0.000 0.000 0.000
Ni1 0.250 0.250 0.750
W1 0.000 0.000 0.500
W2 0.250 0.250 0.250

---

No. 9
VASP calculation (PBE-GGA) on crystalline Ba2NiW at its relaxed geometry.

Computed properties:
Energy above the lowest structure with this stoichiometry (meV per atom): 571

Cell lengths 7.874, 7.874, 7.874 Å; angles 90.00, 90.00, 90.00 degrees
Space group Fm-3m (No. 225)
One atom of each set of equivalent atoms:
Ba1 0.250 0.250 0.250
Ni1 0.000 0.000 0.000
W1 0.000 0.000 0.500

---

No. 10
VASP calculation (PBE-GGA) on crystalline BaNi3W at its relaxed geometry.

Computed properties:
Energy above the lowest structure with this stoichiometry (meV per atom): 1870

Cell lengths 4.696, 4.696, 4.696 Å; angles 90.00, 90.00, 90.00 degrees
Space group Pm-3m (No. 221)
One atom of each set of equivalent atoms:
Ba1 0.000 0.000 0.000
Ni1 0.000 0.000 0.500
W1 0.500 0.500 0.500

---

No. 11
VASP calculation (PBE-GGA) on crystalline Ba2NiW at its relaxed geometry.

Computed properties:
Energy above the lowest structure with this stoichiometry (meV per atom): 547

Cell lengths 5.573, 5.573, 3.854 Å; angles 90.00, 90.00, 90.00 degrees
Space group P4/mmm (No. 123)
One atom of each set of equivalent atoms:
Ba1 0.000 0.500 0.000
Ni1 0.000 0.000 0.500
W1 0.500 0.500 0.500

---

No. 12
VASP calculation (PBE-GGA) on crystalline BaNiW2 at its relaxed geometry.

Computed properties:
Energy above the lowest structure with this stoichiometry (meV per atom): 103

Cell lengths 4.2749, 4.2749, 18.6692 Å; angles 90.00, 90.00, 120.00 degrees
Space group R-3m (No. 166, hexagonal axes)
One atom of each set of equivalent atoms:
Ba1 0.0000 0.0000 0.0000
Ni1 0.0000 0.0000 0.5000
W1 0.0000 0.0000 0.1941

---

Here are the calculated formation enthalpy at 0 K numbers, same order: 1.08 1.83 1.35 0.67 1.42 0.81 0.70 1.28 1.27 2.57 1.25 0.76 (eV/atom).